[1]
AlSi2OsCl GGA-PBEsol optimized geometry; spin magnetization = 2.0 μB per formula unit; E = -4.502 eV per atom; N(E_F) = 4.87 states/eV per cell; uncorrected formation energy = 1.460 eV/atom; space-group type = P4/mmm; volume = 102 Å³ per cell
1.0
4.6240 0.0000 0.0000
0.0000 4.7050 0.0000
0.0000 0.0000 4.7050
Os Si Cl Al
1 2 1 1
Direct
0.5000 0.0000 0.0000
0.0000 0.0000 0.5000
0.0000 0.5000 0.0000
0.5000 0.5000 0.5000
0.0000 0.0000 0.0000


[2]
Ta2NiPt GGA-PBEsol optimized geometry; spin magnetization = 0.0 μB per formula unit; E = -9.966 eV per atom; calculated formation energy = -0.410 eV/atom; N(E_F) = 3.74 states/eV per cell; space-group type = P4/mmm; volume = 60 Å³ per cell
1.0
2.7717 0.0280 0.0000
-0.0268 2.7717 0.0000
0.0000 0.0000 7.7572
Ta Pt Ni
2 1 1
Direct
0.0000 0.0000 0.7347
0.0000 0.0000 0.2653
0.5000 0.5000 0.0000
0.5000 0.5000 0.5000


[3]
CsTl2Cd2 GGA-PBEsol optimized geometry; spin magnetization = 0.0 μB per formula unit; E = -1.747 eV per atom; calculated formation energy = -0.028 eV/atom; N(E_F) = 3.11 states/eV per cell; space-group type = I4/mmm; volume = 161 Å³ per cell
1.0
5.0619 0.0000 0.0000
0.0000 5.0619 0.0000
-2.5309 -2.5309 6.2943
Cd Tl Cs
2 2 1
Direct
0.2500 0.7500 0.5000
0.7500 0.2500 0.5000
0.3739 0.3739 0.7477
0.6261 0.6261 0.2523
0.0000 0.0000 0.0000


[4]
K2H6PbO6 GGA-PBEsol optimized geometry; spin magnetization = 0.0 μB per formula unit; E = -5.046 eV per atom; N(E_F) = 0.00 states/eV per cell; space-group type = R-3; volume = 160 Å³ per cell
1.0
-0.8268 2.9323 -4.7043
-5.5558 0.1355 -0.7262
-1.6077 5.1011 1.6751
H Pb O K
6 1 6 2
Direct
0.6125 0.7586 0.1891
0.1891 0.6125 0.7586
0.8109 0.3875 0.2414
0.2414 0.8109 0.3875
0.3875 0.2414 0.8109
0.7586 0.1891 0.6125
0.0000 0.0000 0.0000
0.2016 0.3059 0.8041
0.6941 0.1959 0.7984
0.3059 0.8041 0.2016
0.7984 0.6941 0.1959
0.8041 0.2016 0.3059
0.1959 0.7984 0.6941
0.2975 0.2975 0.2975
0.7025 0.7025 0.7025


[5]
Mg2CuMo GGA-PBEsol optimized geometry; spin magnetization = 0.0 μB per formula unit; E = -4.517 eV per atom; calculated formation energy = 0.367 eV/atom; N(E_F) = 2.68 states/eV per cell; space-group type = Imm2; volume = 65 Å³ per cell
1.0
2.7573 0.0000 0.0000
0.0000 4.7802 0.0000
-1.3787 -2.3901 4.9105
Mg Mo Cu
2 1 1
Direct
0.9753 0.9753 0.9507
0.7553 0.2553 0.5107
0.5233 0.5233 0.0465
0.2461 0.7461 0.4921


[6]
Sc2SiSe GGA-PBEsol optimized geometry; spin magnetization = 0.0 μB per formula unit; E = -6.918 eV per atom; N(E_F) = 1.10 states/eV per cell; excess energy over the best structure of this formula in the dataset = 0.0000 eV/atom; uncorrected formation energy = -1.217 eV/atom; space-group type = R-3m; volume = 79 Å³ per cell
1.0
-1.3637 -2.5172 2.4712
-0.8791 -3.4939 -1.1501
5.1892 -3.9299 1.7544
Sc Se Si
2 1 1
Direct
0.2534 0.2534 0.2399
0.7466 0.7466 0.7601
0.5000 0.5000 0.5000
0.0000 0.0000 0.0000


[7]
Be2TlCd GGA-PBEsol optimized geometry; spin magnetization = 0.0 μB per formula unit; E = -2.277 eV per atom; calculated formation energy = 0.679 eV/atom; N(E_F) = 1.20 states/eV per cell; excess energy over the best structure of this formula in the dataset = 0.1021 eV/atom; space-group type = Pmmm; volume = 70 Å³ per cell
1.0
2.8889 0.0000 0.0000
0.0000 4.1998 0.0000
0.0000 0.0000 5.7687
Be Cd Tl
2 1 1
Direct
0.5000 0.0000 0.5000
0.0000 0.0000 0.0000
0.5000 0.5000 0.0000
0.0000 0.5000 0.5000


[8]
VCuP2S6 GGA-PBEsol optimized geometry; spin magnetization = 2.0 μB per formula unit; E = -5.572 eV per atom; N(E_F) = 6.42 states/eV per cell; uncorrected formation energy = -0.386 eV/atom; space-group type = P1; volume = 194 Å³ per cell
1.0
5.9122 0.0422 0.0011
2.9375 5.1565 0.0315
1.9529 0.0039 6.3780
S Cu P V
6 1 2 1
Direct
0.4057 0.6560 0.7495
0.5641 0.3076 0.2529
0.9637 0.6445 0.2569
0.1022 0.3260 0.7535
0.7341 0.0222 0.7557
0.2307 0.0418 0.2516
0.5994 0.6624 0.2181
0.0578 0.0002 0.8238
0.9476 0.9988 0.1652
0.3306 0.3384 0.9848


[9]
NaSrTi3 GGA-PBEsol optimized geometry; spin magnetization = 1.4 μB per formula unit; E = -4.110 eV per atom; calculated formation energy = 1.531 eV/atom; N(E_F) = 9.64 states/eV per cell; space-group type = Pm-3m; volume = 122 Å³ per cell
1.0
-3.1073 -3.0796 -2.3493
3.7373 -1.5926 -2.8555
1.0174 -3.5550 3.3144
Ti Na Sr
3 1 1
Direct
0.0000 0.5000 0.0000
0.5000 0.0000 0.0000
0.0000 0.0000 0.5000
0.0000 0.0000 0.0000
0.5000 0.5000 0.5000


[10]
LaTi2Tc2 GGA-PBEsol optimized geometry; spin magnetization = 0.0 μB per formula unit; E = -8.953 eV per atom; calculated formation energy = -0.049 eV/atom; N(E_F) = 3.19 states/eV per cell; space-group type = I4/mmm; volume = 96 Å³ per cell
1.0
4.1279 0.0000 0.0000
0.0000 4.1279 0.0000
-2.0639 -2.0639 5.6340
La Ti Tc
1 2 2
Direct
0.0000 0.0000 0.0000
0.2500 0.7500 0.5000
0.7500 0.2500 0.5000
0.3845 0.3845 0.7690
0.6155 0.6155 0.2310


[11]
Zr6Co23 GGA-PBEsol optimized geometry; spin magnetization = 24.9 μB per formula unit; E = -8.259 eV per atom; calculated formation energy = -0.242 eV/atom; N(E_F) = 33.40 states/eV per cell; space-group type = Fm-3m; volume = 361 Å³ per cell
1.0
7.9903 0.0000 0.0000
3.9952 6.9198 0.0000
3.9952 2.3066 6.5241
Co Zr
23 6
Direct
0.1752 0.4744 0.1752
0.1752 0.1752 0.1752
0.6209 0.6209 0.6209
0.3791 0.3791 0.8626
0.5256 0.8248 0.8248
0.1374 0.6209 0.6209
0.0000 0.0000 0.5000
0.8248 0.8248 0.5256
0.8248 0.5256 0.8248
0.0000 0.5000 0.5000
0.5000 0.5000 0.0000
0.3791 0.3791 0.3791
0.1752 0.1752 0.4744
0.6209 0.6209 0.1374
0.5000 0.0000 0.5000
0.8248 0.8248 0.8248
0.8626 0.3791 0.3791
0.5000 0.0000 0.0000
0.3791 0.8626 0.3791
0.6209 0.1374 0.6209
0.4744 0.1752 0.1752
0.5000 0.5000 0.5000
0.0000 0.5000 0.0000
0.2114 0.2114 0.7886
0.2114 0.7886 0.2114
0.2114 0.7886 0.7886
0.7886 0.7886 0.2114
0.7886 0.2114 0.2114
0.7886 0.2114 0.7886


[12]
Al2ZnCd GGA-PBEsol optimized geometry; spin magnetization = 0.0 μB per formula unit; E = -2.593 eV per atom; calculated formation energy = 0.147 eV/atom; N(E_F) = 1.59 states/eV per cell; excess energy over the best structure of this formula in the dataset = 0.0620 eV/atom; space-group type = Pmmm; volume = 71 Å³ per cell
1.0
2.8206 0.0000 0.0000
0.0000 4.9121 0.0000
0.0000 0.0000 5.0929
Zn Cd Al
1 1 2
Direct
0.0000 0.5000 0.5000
0.5000 0.0000 0.5000
0.0000 0.0000 0.0000
0.5000 0.5000 0.0000